1.
The following is a GGA-PBE calculation of an optimized crystal structure of Li2ZnNi, from Alexandria.

Cell lengths 4.514, 5.062, 2.615 Å; angles 77.42, 84.80, 114.99 degrees
Fractional coordinates of all 4 atoms:
1 Ni 0.000 0.500 0.500
2 Zn 0.500 0.500 0.000
3 Li 0.000 0.000 0.000
4 Li 0.500 0.000 0.500

---

2.
The following is a GGA-PBE calculation of an optimized crystal structure of Ta2BeCd2, from Alexandria.

Cell lengths 3.691, 3.691, 8.007 Å; angles 76.67, 76.67, 90.00 degrees
Fractional coordinates of all 5 atoms:
1 Be 0.000 0.000 0.000
2 Cd 0.410 0.410 0.181
3 Cd 0.590 0.590 0.819
4 Ta 0.750 0.250 0.500
5 Ta 0.250 0.750 0.500

- Energy above the lowest structure with this stoichiometry: 212.5 meV per atom

---

Number 1: ΔH_f (0 K) -0.0903 eV/atom, E_tot -0.1033 Ha/atom, size of the total moment 0.0 μB/f.u.. Number 2: ΔH_f (0 K) 0.9077 eV/atom, E_tot -0.1817 Ha/atom, size of the total moment 0.0 μB/f.u..